No. 1
This record from the Alexandria database describes an optimized crystal structure of Tm5ZrIn4. The functional is PBE.

Lattice parameters (Å, degrees): 3.4512 3.4512 21.6272 90.00 90.00 90.00
Fractional coordinates of all 10 atoms:
Tm 0.0000 0.0000 0.0000
Tm 0.0000 0.0000 0.1983
Tm 0.0000 0.0000 0.3968
Tm 0.0000 0.0000 0.6032
Tm 0.0000 0.0000 0.8017
Zr 0.5000 0.5000 0.5000
In 0.5000 0.5000 0.0990
In 0.5000 0.5000 0.2964
In 0.5000 0.5000 0.7036
In 0.5000 0.5000 0.9010

Calculated values
Electronic total energy   -4.530 eV/atom
Symmetry   P4/mmm (123)



No. 2
This record from the Alexandria database describes an optimized crystal structure of Tm2ZrIn3. The functional is PBE.

Lattice parameters (Å, degrees): 3.3001 3.3001 13.3652 90.00 90.00 90.00
Fractional coordinates of all 6 atoms:
Tm 0.0000 0.0000 0.1724
Tm 0.0000 0.0000 0.8276
Zr 0.0000 0.0000 0.5000
In 0.5000 0.5000 0.0000
In 0.5000 0.5000 0.3413
In 0.5000 0.5000 0.6587

Calculated values
Electronic total energy   -4.651 eV/atom
Polymorph energy (0 for the lowest one)   0.0 meV/atom
Symmetry   P4/mmm (123)



No. 3
This record from the Alexandria database describes an optimized crystal structure of TmZr2In. The functional is PBE.

Lattice parameters (Å, degrees): 3.3121 3.3121 31.1434 90.00 90.00 120.00
Fractional coordinates of all 12 atoms:
Tm 0.0000 0.0000 0.0000
Tm 0.3333 0.6667 0.6667
Tm 0.6667 0.3333 0.3333
Zr 0.0000 0.0000 0.5818
Zr 0.0000 0.0000 0.7524
Zr 0.3333 0.6667 0.2484
Zr 0.3333 0.6667 0.4190
Zr 0.6667 0.3333 0.0857
Zr 0.6667 0.3333 0.9151
In 0.0000 0.0000 0.1667
In 0.3333 0.6667 0.8334
In 0.6667 0.3333 0.5001

Calculated values
Electronic total energy   -6.109 eV/atom
Polymorph energy (0 for the lowest one)   171.1 meV/atom
Symmetry   R3m (160)



No. 4
This record from the Alexandria database describes an optimized crystal structure of TmZrIn. The functional is PBE.

Lattice parameters (Å, degrees): 3.3373 3.3373 27.9423 90.00 90.00 90.00
Fractional coordinates of all 12 atoms:
Tm 0.0000 0.0000 0.0604
Tm 0.0000 0.0000 0.9396
Tm 0.5000 0.5000 0.4396
Tm 0.5000 0.5000 0.5604
Zr 0.0000 0.0000 0.2122
Zr 0.0000 0.0000 0.7878
Zr 0.5000 0.5000 0.2878
Zr 0.5000 0.5000 0.7122
In 0.0000 0.0000 0.3640
In 0.0000 0.0000 0.6360
In 0.5000 0.5000 0.1360
In 0.5000 0.5000 0.8640

Calculated values
Electronic total energy   -5.373 eV/atom
Symmetry   I4/mmm (139)



No. 5
This record from the Alexandria database describes an optimized crystal structure of TmZrIn. The functional is PBE.

Lattice parameters (Å, degrees): 3.3970 3.3970 12.9724 90.00 90.00 90.00
Fractional coordinates of all 6 atoms:
Tm 0.0000 0.0000 0.0000
Tm 0.5000 0.5000 0.5000
Zr 0.0000 0.0000 0.6732
Zr 0.5000 0.5000 0.1732
In 0.0000 0.0000 0.3289
In 0.5000 0.5000 0.8289

Calculated values
Electronic total energy   -5.495 eV/atom
Symmetry   I4mm (107)



No. 6
This record from the Alexandria database describes an optimized crystal structure of TmZr2In. The functional is PBE.

Lattice parameters (Å, degrees): 4.5523 4.5523 4.5656 90.00 90.00 90.00
Fractional coordinates of all 4 atoms:
Tm 0.0000 0.0000 0.0000
Zr 0.0000 0.5000 0.5000
Zr 0.5000 0.0000 0.5000
In 0.5000 0.5000 0.0000

Calculated values
Electronic total energy   -6.276 eV/atom
Polymorph energy (0 for the lowest one)   4.3 meV/atom
Symmetry   P4/mmm (123)



electronic total energy of number 3 (TmZr2In)? -6.109 eV/atom